VASP calculation (PBE) on an optimized crystal structure of Sm3HoSc4.

Structure (extended XYZ):
```
16
Lattice="10.8938 0.0000 0.0000 0.0000 7.0409 0.0000 0.0000 0.0000 6.0098" Properties=species:S:1:pos:R:3 pbc="T T T"
Sm 0.0000 0.9583 0.0000
Sm 2.7268 0.9550 2.0948
Sm 2.7201 6.0859 5.0997
Sm 5.4469 6.0826 3.0049
Sm 8.1670 0.9550 2.0948
Sm 8.1737 6.0859 5.0997
Ho 0.0000 6.0713 2.9972
Ho 5.4469 0.9697 6.0021
Sc 0.0000 2.7232 3.0631
Sc 0.0000 4.3166 0.0600
Sc 2.7071 4.3144 2.0335
Sc 2.7398 2.7265 5.0384
Sc 5.4469 2.7243 3.0649
Sc 5.4469 4.3177 0.0582
Sc 8.1540 2.7265 5.0384
Sc 8.1867 4.3144 2.0335
```

The calculation puts the energy of formation at 36.0 kJ/mol of formula units. Its total magnetization is 0.002 μB/atom. Its symmetry is Pmn2_1, No. 31. The calculation puts the calculated volume at 461.0 Å³ per cell.



VASP calculation (PBE) on an optimized crystal structure of Sm12Ho7Sc.

Structure (extended XYZ):
```
20
Lattice="7.5343 4.3499 3.3143 -7.5343 4.3499 3.3143 0.0000 -8.6998 3.3143" Properties=species:S:1:pos:R:3 pbc="T T T"
Sm -5.5325 1.3758 3.8366
Sm -0.6434 -2.3830 2.5947
Sm -3.9577 -4.1034 6.1062
Sm -1.7421 1.7487 2.5947
Sm 1.5748 -5.4792 3.8366
Sm 2.3854 0.6343 2.5947
Sm -2.3854 -0.6343 7.3481
Sm -1.5748 5.4792 6.1062
Sm 1.7421 -1.7487 7.3481
Sm 3.9577 4.1034 3.8366
Sm 0.6434 2.3830 7.3481
Sm 5.5325 -1.3758 6.1062
Ho 0.0000 0.0000 0.0000
Ho -3.3119 -0.9053 4.2996
Ho -0.8720 -3.3208 5.6431
Ho -2.4400 2.4156 5.6431
Ho 2.4400 -2.4156 4.2997
Ho 0.8720 3.3209 4.2997
Ho 3.3119 0.9053 5.6431
Sc 0.0000 0.0000 4.9714
```

The calculation puts the energy of formation at 320.0 kJ/mol of formula units. Its total magnetization is 0.000 μB/atom. Its symmetry is R-3, No. 148. Its offset from the most stable computed form is 0.000 eV per atom. The calculation puts the calculated volume at 651.7 Å³ per cell.



VASP calculation (PBE) on an optimized crystal structure of Sm6HoSc3.

Structure (extended XYZ):
```
20
Lattice="4.7534 -10.3601 0.0000 4.7534 10.3601 0.0000 0.0000 0.0000 6.2831" Properties=species:S:1:pos:R:3 pbc="T T T"
Sm 4.7534 10.0553 3.1416
Sm 3.0781 4.5331 0.2710
Sm 3.0522 1.1882 1.9272
Sm 4.7534 4.0972 3.2805
Sm 3.0522 -1.1882 5.0688
Sm 6.4287 4.5331 0.2710
Sm 3.0781 -4.5331 3.4126
Sm 6.4546 1.1882 1.9272
Sm 4.7534 -4.0972 0.1389
Sm 6.4546 -1.1882 5.0688
Sm 6.4287 -4.5331 3.4126
Sm 4.7534 -10.0553 0.0000
Ho 4.7534 7.1589 4.6228
Ho 4.7534 -7.1589 1.4812
Sc 1.5891 2.6155 4.4603
Sc 1.5891 -2.6155 1.3188
Sc 4.7534 1.7158 5.1826
Sc 4.7534 -1.7158 2.0411
Sc 7.9177 2.6155 4.4603
Sc 7.9177 -2.6155 1.3188
```

The calculation puts the energy of formation at 134.1 kJ/mol of formula units. Its total magnetization is 0.000 μB/atom. Its symmetry is Cmc2_1, No. 36. Its offset from the most stable computed form is 0.000 eV per atom. The calculation puts the calculated volume at 618.8 Å³ per cell.



VASP calculation (PBE) on an optimized crystal structure of Sm12Ho5Sc.

Structure (extended XYZ):
```
18
Lattice="10.7274 0.0000 0.0000 0.0000 5.0716 0.0000 -0.0324 0.0000 10.7403" Properties=species:S:1:pos:R:3 pbc="T T T"
Sm 0.0063 0.0000 1.7946
Sm 1.7608 2.5358 7.1551
Sm 1.8309 2.5358 0.0150
Sm 3.5542 0.0000 5.3587
Sm 3.5905 0.0000 8.9916
Sm 5.3377 2.5358 3.5374
Sm 5.3573 2.5358 7.2029
Sm 7.1045 0.0000 1.7487
Sm 7.1408 0.0000 5.3816
Sm 8.8641 2.5358 10.7253
Sm 8.9342 2.5358 3.5852
Sm 10.6887 0.0000 8.9457
Ho -0.0162 0.0000 5.3702
Ho 1.7759 2.5358 3.5814
Ho 3.5890 0.0000 1.7714
Ho 7.1060 0.0000 8.9689
Ho 8.9191 2.5358 7.1589
Sc 5.3637 2.5358 0.0000
```

The calculation puts the energy of formation at 44.9 kJ/mol of formula units. Its total magnetization is 0.000 μB/atom. Its symmetry is P2/m, No. 10. The calculation puts the calculated volume at 584.3 Å³ per cell.



VASP calculation (PBE) on an optimized crystal structure of Sm8Ho6Sc.

Structure (extended XYZ):
```
15
Lattice="4.8873 2.8217 5.8722 -4.8873 2.8217 5.8722 0.0000 -5.6433 5.8722" Properties=species:S:1:pos:R:3 pbc="T T T"
Sm 0.0000 0.0000 1.5847
Sm -2.0355 0.4880 5.7901
Sm 0.5952 -2.0068 5.7901
Sm -1.4404 -1.5189 11.8264
Sm 1.4404 1.5189 5.7901
Sm -0.5952 2.0068 11.8264
Sm 2.0355 -0.4880 11.8264
Sm 0.0000 0.0000 16.0318
Ho -3.2568 -0.6469 8.6312
Ho -1.0681 -3.1440 8.9853
Ho -2.1887 2.4970 8.9853
Ho 2.1887 -2.4970 8.6312
Ho 1.0681 3.1440 8.6312
Ho 3.2568 0.6469 8.9853
Sc 0.0000 0.0000 8.8082
```

The calculation puts the energy of formation at 269.5 kJ/mol of formula units. Its total magnetization is 0.000 μB/atom. Its symmetry is R-3, No. 148. Its offset from the most stable computed form is 0.033 eV per atom. The calculation puts the calculated volume at 485.9 Å³ per cell.



VASP calculation (PBE) on an optimized crystal structure of Sm6HoSc3.

Structure (extended XYZ):
```
10
Lattice="4.8518 2.8012 3.8442 -4.8518 2.8012 3.8442 0.0000 -5.6024 3.8442" Properties=species:S:1:pos:R:3 pbc="T T T"
Sm -1.6393 -2.7595 3.8442
Sm -3.2569 -0.0006 5.7651
Sm -1.5702 2.7994 3.8442
Sm 1.6290 -2.8203 5.7651
Sm 3.2095 -0.0399 3.8442
Sm 1.6279 2.8209 5.7651
Ho 0.0000 0.0000 11.5260
Sc 0.0000 0.0000 2.9731
Sc 0.0000 0.0000 5.7585
Sc 0.0000 0.0000 8.5417
```

The calculation puts the energy of formation at 177.0 kJ/mol of formula units. Its total magnetization is 0.095 μB/atom. Its symmetry is R3, No. 146. Its offset from the most stable computed form is 0.044 eV per atom. The calculation puts the calculated volume at 313.5 Å³ per cell.